Below is a geometry-optimized AgTeW2 structure, with properties calculated at the PBE level.

ΔE_f (raw) (eV per atom): 1.05
Symmetry: P4/mmm (123)
D(E_F) (states/eV per atom): 1.006

a = 4.7693 Å, b = 3.9410 Å, c = 3.9410 Å
α = 90.00°, β = 90.00°, γ = 90.00°
With the nearest neighbours (Å) after each atom.
Positions (direct):
W 0.0000 0.0000 0.0000  4 W 2.79, 4 Te 3.09, 4 Ag 3.09
Te 0.5000 0.0000 0.5000  4 Ag 2.79, 8 W 3.09
W 0.0000 0.5000 0.5000  4 W 2.79, 4 Te 3.09, 4 Ag 3.09
Ag 0.5000 0.5000 0.0000  4 Te 2.79, 8 W 3.09